Record 1
# SrMg6Tl4

A relaxed structure of SrMg6Tl4 (GGA-PBE, the Alexandria database).

Geometry as CIF:
```
data_SrMg6Tl4
_chemical_formula_sum 'Sr1 Mg6 Tl4'
_symmetry_space_group_name_H-M 'P -6 m 2'
_symmetry_Int_Tables_number 187
_symmetry_space_group_name_Hall 'P -6 2'
_cell_length_a 8.5327
_cell_length_b 8.5327
_cell_length_c 4.5963
_cell_angle_alpha 90.00
_cell_angle_beta 90.00
_cell_angle_gamma 120.00
loop_
_atom_site_label
_atom_site_fract_x
_atom_site_fract_y
_atom_site_fract_z
Sr1 0.0000 0.0000 0.0000
Mg1 0.2069 0.4138 0.5000
Mg2 0.5348 0.0697 0.0000
Tl1 0.3333 0.6667 0.0000
Tl2 0.3797 0.1898 0.5000
```

Values from the calculation:
**DOS at the Fermi energy**: 0.517 states/eV/atom
**E_tot**: -2.003 eV/atom

Record 2
# SrMg15Tl4

A relaxed structure of SrMg15Tl4 (GGA-PBE, the Alexandria database).

Geometry as CIF:
```
data_SrMg15Tl4
_chemical_formula_sum 'Sr1 Mg15 Tl4'
_symmetry_space_group_name_H-M 'P 4/m m m'
_symmetry_Int_Tables_number 123
_symmetry_space_group_name_Hall '-P 4 2'
_cell_length_a 4.8545
_cell_length_b 4.8545
_cell_length_c 20.8911
_cell_angle_alpha 90.00
_cell_angle_beta 90.00
_cell_angle_gamma 90.00
loop_
_atom_site_label
_atom_site_fract_x
_atom_site_fract_y
_atom_site_fract_z
Sr1 0.0000 0.0000 0.0000
Mg1 0.0000 0.5000 0.1156
Mg2 0.0000 0.5000 0.3086
Mg3 0.0000 0.5000 0.5000
Mg4 0.5000 0.5000 0.0000
Mg5 0.5000 0.5000 0.2143
Mg6 0.5000 0.5000 0.4040
Tl1 0.0000 0.0000 0.2114
Tl2 0.0000 0.0000 0.4056
```

Values from the calculation:
**DOS at the Fermi energy**: 0.487 states/eV/atom
**E_tot**: -1.768 eV/atom

Record 3
# SrMg2Tl9

A relaxed structure of SrMg2Tl9 (GGA-PBE, the Alexandria database).

Geometry as CIF:
```
data_SrMg2Tl9
_chemical_formula_sum 'Sr4 Mg8 Tl36'
_symmetry_space_group_name_H-M 'I 41/a m d'
_symmetry_Int_Tables_number 141
_cell_length_a 13.0917
_cell_length_b 13.0917
_cell_length_c 8.4916
_cell_angle_alpha 90.00
_cell_angle_beta 90.00
_cell_angle_gamma 90.00
loop_
_symmetry_equiv_pos_as_xyz
'x,y,z'
'-x,-y,-z'
'-y+1/4,x+3/4,z+1/4'
'y+1/4,-x+3/4,-z+1/4'
'-x+1/2,-y,z+1/2'
'x+1/2,y,-z+1/2'
'y+1/4,-x+1/4,z+3/4'
'-y+1/4,x+1/4,-z+3/4'
'x,-y,-z'
'-x,y,z'
'-y+1/4,-x+1/4,-z+3/4'
'y+1/4,x+1/4,z+3/4'
'-x+1/2,y,-z+1/2'
'x+1/2,-y,z+1/2'
'y+1/4,x+3/4,-z+1/4'
'-y+1/4,-x+3/4,z+1/4'
'x+1/2,y+1/2,z+1/2'
'-x+1/2,-y+1/2,-z+1/2'
'-y+3/4,x+1/4,z+3/4'
'y+3/4,-x+1/4,-z+3/4'
'-x,-y+1/2,z'
'x,y+1/2,-z'
'y+3/4,-x+3/4,z+1/4'
'-y+3/4,x+3/4,-z+1/4'
'x+1/2,-y+1/2,-z+1/2'
'-x+1/2,y+1/2,z+1/2'
'-y+3/4,-x+3/4,-z+1/4'
'y+3/4,x+3/4,z+1/4'
'-x,y+1/2,-z'
'x,-y+1/2,z'
'y+3/4,x+1/4,-z+3/4'
'-y+3/4,-x+1/4,z+3/4'
loop_
_atom_site_label
_atom_site_fract_x
_atom_site_fract_y
_atom_site_fract_z
Sr1 0.0000 0.2500 0.3750
Mg1 0.0000 0.0000 0.0000
Tl1 0.0000 0.2500 0.8750
Tl2 0.1223 0.0541 0.6726
```

Values from the calculation:
**DOS at the Fermi energy**: 0.501 states/eV/atom
**E_tot**: -2.234 eV/atom